# 1
Entry from the Alexandria database: a relaxed structure of Sc2WBr (GGA-PBEsol).

Summary:
**Excess energy over the best structure of this formula in the dataset**: 0.490 eV per atom
**Calculated density**: 6.86 g/cm³
**Crystal system**: orthorhombic
**Uncorrected energy**: -6.9400 eV per atom
**Formation energy (no corrections)**: 282 meV/atom

Cell and atoms, written as CIF:
```
data_Sc2WBr
_chemical_formula_sum 'Sc4 W2 Br2'
_cell_length_a 3.619
_cell_length_b 4.828
_cell_length_c 9.804
_cell_angle_alpha 90.00
_cell_angle_beta 90.00
_cell_angle_gamma 90.00
_symmetry_space_group_name_H-M 'C m m 2'
_symmetry_Int_Tables_number 35
loop_
_symmetry_equiv_pos_as_xyz
'x,y,z'
'-x,-y,z'
'-x,y,z'
'x,-y,z'
'x+1/2,y+1/2,z'
'-x+1/2,-y+1/2,z'
'-x+1/2,y+1/2,z'
'x+1/2,-y+1/2,z'
loop_
_atom_site_label
_atom_site_fract_x
_atom_site_fract_y
_atom_site_fract_z
_atom_site_occupancy
Sc1 0.000 0.000 0.000 1
Sc2 0.000 0.500 0.266 1
W1 0.000 0.500 0.792 1
Br1 0.000 0.000 0.458 1
```

# 2
Entry from the Alexandria database: a relaxed structure of ScIrRh2Pb (GGA-PBEsol).

Summary:
**Calculated density**: 9.32 g/cm³
**Crystal system**: tetragonal
**Uncorrected energy**: -5.5853 eV per atom
**Formation energy**: 1.76 eV/atom

Cell and atoms, written as CIF:
```
data_ScIrRh2Pb
_chemical_formula_sum 'Sc1 Ir1 Rh2 Pb1'
_cell_length_a 4.753
_cell_length_b 4.753
_cell_length_c 5.126
_cell_angle_alpha 90.00
_cell_angle_beta 90.00
_cell_angle_gamma 90.00
_symmetry_space_group_name_H-M 'P 4/m m m'
_symmetry_Int_Tables_number 123
_symmetry_space_group_name_Hall '-P 4 2'
loop_
_atom_site_label
_atom_site_fract_x
_atom_site_fract_y
_atom_site_fract_z
_atom_site_occupancy
Sc1 0.000 0.000 0.000 1
Ir1 0.500 0.500 0.000 1
Rh1 0.000 0.500 0.500 1
Pb1 0.000 0.000 0.500 1
```

# 3
Entry from the Alexandria database: a relaxed structure of Cr2NiAs (GGA-PBEsol).

Summary:
**Calculated density**: 8.31 g/cm³
**Crystal system**: tetragonal
**Uncorrected energy**: -7.7555 eV per atom
**Formation energy**: 0.18 eV/atom

Cell and atoms, written as CIF:
```
data_Cr2NiAs
_chemical_formula_sum 'Cr2 Ni1 As1'
_cell_length_a 3.139
_cell_length_b 3.139
_cell_length_c 4.819
_cell_angle_alpha 90.00
_cell_angle_beta 90.00
_cell_angle_gamma 90.00
_symmetry_space_group_name_H-M 'P 4/m m m'
_symmetry_Int_Tables_number 123
_symmetry_space_group_name_Hall '-P 4 2'
loop_
_atom_site_label
_atom_site_fract_x
_atom_site_fract_y
_atom_site_fract_z
_atom_site_occupancy
Cr1 0.000 0.000 0.249 1
Ni1 0.500 0.500 0.500 1
As1 0.500 0.500 0.000 1
```

# 4
Entry from the Alexandria database: a relaxed structure of BeHgSb2 (GGA-PBEsol).

Summary:
**Calculated density**: 8.15 g/cm³
**Crystal system**: orthorhombic
**Uncorrected energy**: -3.1250 eV per atom
**Formation energy (no corrections)**: 295 meV/atom

Cell and atoms, written as CIF:
```
data_BeHgSb2
_chemical_formula_sum 'Be2 Hg2 Sb4'
_cell_length_a 3.635
_cell_length_b 3.749
_cell_length_c 13.554
_cell_angle_alpha 90.00
_cell_angle_beta 90.00
_cell_angle_gamma 90.00
_symmetry_space_group_name_H-M 'I m m 2'
_symmetry_Int_Tables_number 44
loop_
_symmetry_equiv_pos_as_xyz
'x,y,z'
'-x,-y,z'
'-x,y,z'
'x,-y,z'
'x+1/2,y+1/2,z+1/2'
'-x+1/2,-y+1/2,z+1/2'
'-x+1/2,y+1/2,z+1/2'
'x+1/2,-y+1/2,z+1/2'
loop_
_atom_site_label
_atom_site_fract_x
_atom_site_fract_y
_atom_site_fract_z
_atom_site_occupancy
Be1 0.000 0.000 0.000 1
Hg1 0.000 0.500 0.269 1
Sb1 0.000 0.000 0.452 1
Sb2 0.000 0.500 0.632 1
```